# Zr3GaC, relaxed, DFT PBE
# Calculated volume   179.51 Å³ per cell
# Size of the total moment   0.01 μB/f.u.
# Uncorrected energy   -8.250 eV/atom
# Symmetry   Cmcm, No. 63
data_Zr3GaC
_chemical_formula_sum 'Zr6 Ga2 C2'
_symmetry_space_group_name_H-M 'P 1'
_symmetry_Int_Tables_number 1
_cell_length_a 6.037
_cell_length_b 6.037
_cell_length_c 9.055
_cell_angle_alpha 90.00
_cell_angle_beta 90.00
_cell_angle_gamma 147.05
loop_
_symmetry_equiv_pos_as_xyz
'x,y,z'
loop_
_atom_site_label
_atom_site_type_symbol
_atom_site_fract_x
_atom_site_fract_y
_atom_site_fract_z
C1 C 0.000 0.000 0.500
C2 C 0.000 0.000 0.000
Zr1 Zr 0.628 0.372 0.047
Zr2 Zr 0.050 0.950 0.750
Zr3 Zr 0.372 0.628 0.953
Zr4 Zr 0.950 0.050 0.250
Zr5 Zr 0.628 0.372 0.453
Zr6 Zr 0.372 0.628 0.547
Ga1 Ga 0.253 0.747 0.250
Ga2 Ga 0.747 0.253 0.750